A geometry-optimized Ta2AlCl structure. Source: Alexandria via LeMat-Bulk, functional PBEsol.

Results
Energy relative to the elements, uncorrected, meV per atom: 478
Volume, Å³ per atom: 16.8
Distance to the lowest polymorph of the same formula, eV per atom: 0.388
M_tot, μB per atom: 0.00

Unit cell a=3.9884 b=3.9884 c=8.4709 alpha=90.00 beta=90.00 gamma=90.00
Closest atoms and distances in Å follow each position.
Space group I-4m2 (No. 119)
Unique sites:
Ta  0.0000  0.0000  0.0000 (multiplicity 2)  4 Al 2.82, 4 Ta 2.91, 4 Cl 2.91
Ta  0.0000  0.5000  0.2500 (multiplicity 2)  4 Cl 2.82, 4 Ta 2.91, 4 Al 2.91
Al  0.0000  0.0000  0.5000 (multiplicity 2)  8 Ta 2.82-2.91, 4 Cl 2.91
Cl  0.0000  0.5000  0.7500 (multiplicity 2)  8 Ta 2.82-2.91, 4 Al 2.91